P.
DFT (meta-GGA SCAN) results for SnBCl2 at its PBEsol-relaxed geometry.

Cell lengths 6.3968, 6.3968, 6.3968 Å; angles 60.00, 60.00, 60.00 degrees
With the nearest neighbours (Å) after each atom.
Fractional coordinates of all 8 atoms:
Sn  0.2500  0.2500  0.2500  12 Cl 3.75, 4 Sn 3.92, 4 B 3.92
Cl  0.6250  0.6250  0.1250  2 B 1.96
Cl  0.6250  0.1250  0.6250  2 B 1.96
B  0.7500  0.7500  0.7500  4 Cl 1.96
Sn  0.0000  0.0000  0.0000  12 Cl 3.75, 4 B 3.92, 4 Sn 3.92
Cl  0.6250  0.6250  0.6250  2 B 1.96
Cl  0.1250  0.6250  0.6250  2 B 1.96
B  0.5000  0.5000  0.5000  4 Cl 1.96

Results
The value obtained for the density of states at the Fermi level is 4.82 states/eV/cell. The calculation puts the total magnetization at 0.00 μB per formula unit. The mass density comes out at 3.60 g/cm³. The symmetry is Fd-3m, No. 227.

***

Q.
DFT (meta-GGA SCAN) results for SnBCl2 at its PBEsol-relaxed geometry.

Cell lengths 4.8128, 4.8128, 4.8128 Å; angles 60.00, 60.00, 60.00 degrees
With the nearest neighbours (Å) after each atom.
Fractional coordinates of all 4 atoms:
Sn  0.5000  0.5000  0.5000  8 Cl 2.95
Cl  0.2500  0.2500  0.2500  4 Sn 2.95, 4 B 2.95
Cl  0.7500  0.7500  0.7500  4 Sn 2.95, 4 B 2.95
B  0.0000  0.0000  0.0000  8 Cl 2.95

Results
The value obtained for the density of states at the Fermi level is 1.44 states/eV/cell. The calculation puts the total magnetization at 0.00 μB per formula unit. The mass density comes out at 4.22 g/cm³. The symmetry is Fm-3m, No. 225.

***

P takes first place; second place is 119 meV per atom up.

***

P.
DFT (meta-GGA SCAN) results for MgCo3B at its PBEsol-relaxed geometry.

Cell lengths 4.1745, 4.1745, 4.1745 Å; angles 90.00, 90.00, 90.00 degrees
With the nearest neighbours (Å) after each atom.
Fractional coordinates of all 5 atoms:
Co  0.0000  0.5000  0.0000  2 Mg 2.09
B  0.5000  0.5000  0.5000  12 Co 2.95
Mg  0.0000  0.0000  0.0000  6 Co 2.09
Co  0.5000  0.0000  0.0000  2 Mg 2.09
Co  0.0000  0.0000  0.5000  2 Mg 2.09

Results
The value obtained for the density of states at the Fermi level is 1.59 states/eV/cell. The calculation puts the total magnetization at 5.01 μB per formula unit. The mass density comes out at 4.84 g/cm³. The symmetry is Pm-3m, No. 221.

***

Q.
DFT (meta-GGA SCAN) results for MgCo3B at its PBEsol-relaxed geometry.

Cell lengths 3.7955, 3.7955, 3.7955 Å; angles 90.00, 90.00, 90.00 degrees
With the nearest neighbours (Å) after each atom.
Fractional coordinates of all 5 atoms:
Co  0.0000  0.0000  0.5000  2 B 1.90
Mg  0.5000  0.5000  0.5000  12 Co 2.68
Co  0.0000  0.5000  0.0000  2 B 1.90
B  0.0000  0.0000  0.0000  6 Co 1.90
Co  0.5000  0.0000  0.0000  2 B 1.90

Results
The value obtained for the density of states at the Fermi level is 4.00 states/eV/cell. The calculation puts the total magnetization at 2.04 μB per formula unit. The mass density comes out at 6.44 g/cm³. The symmetry is Pm-3m, No. 221.

***

Q takes first place; second place is 2278 meV per atom up.